Entry 1:
First-principles (PBE-GGA) data for a relaxed Cu2TcW crystal, as listed in the Alexandria database.

Cell and atoms, written as CIF:
```
data_Cu2TcW
_chemical_formula_sum 'Cu2 Tc1 W1'
_space_group_name_H-M_alt 'P 1'
_space_group_IT_number 1
_cell_length_a 2.642
_cell_length_b 2.642
_cell_length_c 8.462
_cell_angle_alpha 90.00
_cell_angle_beta 90.00
_cell_angle_gamma 107.79
loop_
_space_group_symop_operation_xyz
'x,y,z'
loop_
_atom_site_label
_atom_site_type_symbol
_atom_site_fract_x
_atom_site_fract_y
_atom_site_fract_z
Cu1 Cu 0.000 0.000 0.010
Cu2 Cu 0.500 0.500 0.241
Tc1 Tc 0.000 0.000 0.494
W1 W 0.500 0.500 0.755
```

Values from the calculation:
V in Å³/cell: 56.26
Space-group type: No. 35
DFT formation energy in eV per atom: 0.22
Raw total energy in eV/atom: -7.654
Energy above the lowest structure with this stoichiometry in eV/atom: 0.026

---

Entry 2:
First-principles (PBE-GGA) data for a relaxed Cu2TcW crystal, as listed in the Alexandria database.

Cell and atoms, written as CIF:
```
data_Cu2TcW
_chemical_formula_sum 'Cu2 Tc1 W1'
_space_group_name_H-M_alt 'P 1'
_space_group_IT_number 1
_cell_length_a 4.761
_cell_length_b 4.761
_cell_length_c 4.651
_cell_angle_alpha 80.94
_cell_angle_beta 80.94
_cell_angle_gamma 32.46
loop_
_space_group_symop_operation_xyz
'x,y,z'
loop_
_atom_site_label
_atom_site_type_symbol
_atom_site_fract_x
_atom_site_fract_y
_atom_site_fract_z
Cu1 Cu 0.001 0.001 0.000
Cu2 Cu 0.499 0.499 0.500
Tc1 Tc 0.750 0.750 0.750
W1 W 0.250 0.250 0.250
```

Values from the calculation:
V in Å³/cell: 55.81
Space-group type: No. 12
DFT formation energy in eV per atom: 0.30
Raw total energy in eV/atom: -7.577
Energy above the lowest structure with this stoichiometry in eV/atom: 0.102

---

Entry 3:
First-principles (PBE-GGA) data for a relaxed Cu2TcW crystal, as listed in the Alexandria database.

Cell and atoms, written as CIF:
```
data_Cu2TcW
_chemical_formula_sum 'Cu2 Tc1 W1'
_space_group_name_H-M_alt 'P 1'
_space_group_IT_number 1
_cell_length_a 4.296
_cell_length_b 4.296
_cell_length_c 4.296
_cell_angle_alpha 60.00
_cell_angle_beta 60.00
_cell_angle_gamma 60.00
loop_
_space_group_symop_operation_xyz
'x,y,z'
loop_
_atom_site_label
_atom_site_type_symbol
_atom_site_fract_x
_atom_site_fract_y
_atom_site_fract_z
Cu1 Cu 0.000 0.000 0.000
Cu2 Cu 0.250 0.250 0.250
Tc1 Tc 0.500 0.500 0.500
W1 W 0.750 0.750 0.750
```

Values from the calculation:
V in Å³/cell: 56.06
Space-group type: No. 216
DFT formation energy in eV per atom: 0.35
Raw total energy in eV/atom: -7.526
Energy above the lowest structure with this stoichiometry in eV/atom: 0.154

---

Entry 4:
First-principles (PBE-GGA) data for a relaxed CuTcW4 crystal, as listed in the Alexandria database.

Cell and atoms, written as CIF:
```
data_CuTcW4
_chemical_formula_sum 'Cu1 Tc1 W4'
_space_group_name_H-M_alt 'P 1'
_space_group_IT_number 1
_cell_length_a 5.201
_cell_length_b 5.201
_cell_length_c 5.201
_cell_angle_alpha 60.00
_cell_angle_beta 60.00
_cell_angle_gamma 60.00
loop_
_space_group_symop_operation_xyz
'x,y,z'
loop_
_atom_site_label
_atom_site_type_symbol
_atom_site_fract_x
_atom_site_fract_y
_atom_site_fract_z
Cu1 Cu 0.750 0.750 0.750
Tc1 Tc 0.000 0.000 0.000
W1 W 0.872 0.376 0.376
W2 W 0.376 0.376 0.872
W3 W 0.376 0.872 0.376
W4 W 0.376 0.376 0.376
```

Values from the calculation:
V in Å³/cell: 99.50
Space-group type: No. 216
DFT formation energy in eV per atom: 0.56
Raw total energy in eV/atom: -10.485